# Ce2Pm7Ho2 | the Alexandria database | GGA-PBE | optimized geometry
data_Ce2Pm7Ho2
_symmetry_space_group_name_H-M 'C 1 2/m 1'
_symmetry_Int_Tables_number 12
_cell_length_a 11.178
_cell_length_b 11.735
_cell_length_c 6.073
_cell_angle_alpha 90.00
_cell_angle_beta 111.89
_cell_angle_gamma 90.00
loop_
_symmetry_equiv_pos_as_xyz
'x,y,z'
'-x,-y,-z'
'-x,y,-z'
'x,-y,z'
'x+1/2,y+1/2,z'
'-x+1/2,-y+1/2,-z'
'-x+1/2,y+1/2,-z'
'x+1/2,-y+1/2,z'
loop_
_atom_site_label
_atom_site_type_symbol
_atom_site_fract_x
_atom_site_fract_y
_atom_site_fract_z
Ce1 Ce 0.000 0.217 0.000
Pm1 Pm 0.000 0.000 0.500
Pm2 Pm 0.090 0.500 0.305
Pm3 Pm 0.173 0.242 0.680
Ho1 Ho 0.225 0.000 0.080
# **Raw total energy**: -104.3 eV per cell
# **DOS at the Fermi energy**: 49.0 states/eV per cell
# **Spin magnetization**: 4.1 Bohr magnetons per cell